# SiBAuI

An optimized crystal structure of SiBAuI (GGA-PBE, Alexandria).

Unit cell a=3.632 b=4.282 c=6.460 alpha=97.66 beta=100.61 gamma=112.22
Space group P1 (No. 1)
Unique sites:
Si  0.000  0.000  0.000 x1
B  0.381  0.805  0.909 x1
Au  0.249  0.595  0.196 x1
I  0.100  0.392  0.585 x1

Computed properties:
offset from the most stable computed form	73	meV per atom
V	89	Å³/f.u.
raw formation energy	0.361	eV per atom